# HfNbNiN2 PBE optimized geometry
data_HfNbNiN2
_cell_length_a 4.051
_cell_length_b 4.051
_cell_length_c 4.645
_cell_angle_alpha 90.00
_cell_angle_beta 90.00
_cell_angle_gamma 90.00
_space_group_name_H-M_alt 'P 4/m m m'
_space_group_IT_number 123
_space_group_name_Hall '-P 4 2'
loop_
_atom_site_label
_atom_site_type_symbol
_atom_site_fract_x
_atom_site_fract_y
_atom_site_fract_z
Hf1 Hf 0.000 0.000 0.000
Nb1 Nb 0.500 0.500 0.500
Ni1 Ni 0.000 0.000 0.500
N1 N 0.000 0.500 0.000
# - Raw formation energy: 0.738 eV per atom


# HfNp3Nb3N8 PBE optimized geometry
data_HfNp3Nb3N8
_cell_length_a 6.3915
_cell_length_b 6.3915
_cell_length_c 16.3501
_cell_angle_alpha 90.00
_cell_angle_beta 90.00
_cell_angle_gamma 120.00
_space_group_name_H-M_alt 'R -3 m'
_space_group_IT_number 166
_space_group_name_Hall '-R 3 2"'
loop_
_atom_site_label
_atom_site_type_symbol
_atom_site_fract_x
_atom_site_fract_y
_atom_site_fract_z
Hf1 Hf 0.0000 0.0000 0.0000
Np1 Np 0.0000 0.5000 0.5000
Nb1 Nb 0.0000 0.5000 0.0000
N1 N 0.0000 0.0000 0.2569
N2 N 0.0041 0.5020 0.7429
# - Raw formation energy: -1.163 eV per atom


# HfNp2NbN5 PBE optimized geometry
data_HfNp2NbN5
_cell_length_a 3.332
_cell_length_b 13.430
_cell_length_c 10.323
_cell_angle_alpha 90.00
_cell_angle_beta 90.00
_cell_angle_gamma 90.00
_space_group_name_H-M_alt 'C m c 21'
_space_group_IT_number 36
_space_group_name_Hall 'C 2c -2'
loop_
_atom_site_label
_atom_site_type_symbol
_atom_site_fract_x
_atom_site_fract_y
_atom_site_fract_z
Hf1 Hf 0.000 0.217 0.000
Np1 Np 0.000 0.110 0.686
Np2 Np 0.000 0.144 0.283
Nb1 Nb 0.000 0.475 0.459
N1 N 0.000 0.056 0.061
N2 N 0.000 0.277 0.653
N3 N 0.000 0.317 0.367
N4 N 0.000 0.374 0.999
N5 N 0.000 0.489 0.770
# - Raw formation energy: -1.171 eV per atom


# HfPa2NbN5 PBE optimized geometry
data_HfPa2NbN5
_cell_length_a 3.325
_cell_length_b 13.372
_cell_length_c 10.465
_cell_angle_alpha 90.00
_cell_angle_beta 90.00
_cell_angle_gamma 90.00
_space_group_name_H-M_alt 'C m c 21'
_space_group_IT_number 36
_space_group_name_Hall 'C 2c -2'
loop_
_atom_site_label
_atom_site_type_symbol
_atom_site_fract_x
_atom_site_fract_y
_atom_site_fract_z
Hf1 Hf 0.000 0.213 0.000
Pa1 Pa 0.000 0.105 0.678
Pa2 Pa 0.000 0.146 0.287
Nb1 Nb 0.000 0.473 0.454
N1 N 0.000 0.056 0.066
N2 N 0.000 0.276 0.653
N3 N 0.000 0.319 0.363
N4 N 0.000 0.372 0.997
N5 N 0.000 0.484 0.766
# - Raw formation energy: -1.449 eV per atom


# HfPa2NbN4 PBE optimized geometry
data_HfPa2NbN4
_cell_length_a 5.688
_cell_length_b 3.312
_cell_length_c 5.864
_cell_angle_alpha 90.00
_cell_angle_beta 108.92
_cell_angle_gamma 90.00
_space_group_name_H-M_alt 'P 1 2/m 1'
_space_group_IT_number 10
_space_group_name_Hall '-P 2y'
loop_
_atom_site_label
_atom_site_type_symbol
_atom_site_fract_x
_atom_site_fract_y
_atom_site_fract_z
Hf1 Hf 0.000 0.000 0.000
Pa1 Pa 0.000 0.500 0.500
Pa2 Pa 0.500 0.000 0.500
Nb1 Nb 0.500 0.500 0.000
N1 N 0.237 0.500 0.222
N2 N 0.257 0.000 0.777
# - Raw formation energy: -1.514 eV per atom


# HfPaNbN3 PBE optimized geometry
data_HfPaNbN3
_cell_length_a 6.889
_cell_length_b 3.151
_cell_length_c 8.143
_cell_angle_alpha 90.00
_cell_angle_beta 93.54
_cell_angle_gamma 90.00
_space_group_name_H-M_alt 'P 1 21/m 1'
_space_group_IT_number 11
_space_group_name_Hall '-P 2yb'
loop_
_atom_site_label
_atom_site_type_symbol
_atom_site_fract_x
_atom_site_fract_y
_atom_site_fract_z
Hf1 Hf 0.130 0.250 0.138
Pa1 Pa 0.359 0.750 0.827
Nb1 Nb 0.345 0.750 0.421
N1 N 0.101 0.250 0.874
N2 N 0.344 0.250 0.604
N3 N 0.357 0.750 0.134
# - Raw formation energy: -1.295 eV per atom


# Hf3Pa2NbN6 PBE optimized geometry
data_Hf3Pa2NbN6
_cell_length_a 5.623
_cell_length_b 9.750
_cell_length_c 5.873
_cell_angle_alpha 90.00
_cell_angle_beta 108.59
_cell_angle_gamma 90.00
_space_group_name_H-M_alt 'C 1 2/m 1'
_space_group_IT_number 12
_space_group_name_Hall '-C 2y'
loop_
_atom_site_label
_atom_site_type_symbol
_atom_site_fract_x
_atom_site_fract_y
_atom_site_fract_z
Hf1 Hf 0.000 0.000 0.000
Hf2 Hf 0.000 0.338 0.000
Pa1 Pa 0.000 0.167 0.500
Nb1 Nb 0.000 0.500 0.500
N1 N 0.240 0.500 0.228
N2 N 0.244 0.165 0.226
# - Raw formation energy: -1.597 eV per atom


# PmHfNbN3 PBE optimized geometry
data_PmHfNbN3
_cell_length_a 5.685
_cell_length_b 3.293
_cell_length_c 8.500
_cell_angle_alpha 90.00
_cell_angle_beta 102.86
_cell_angle_gamma 90.00
_space_group_name_H-M_alt 'P 1 21/m 1'
_space_group_IT_number 11
_space_group_name_Hall '-P 2yb'
loop_
_atom_site_label
_atom_site_type_symbol
_atom_site_fract_x
_atom_site_fract_y
_atom_site_fract_z
Pm1 Pm 0.147 0.250 0.191
Hf1 Hf 0.267 0.750 0.548
Nb1 Nb 0.377 0.250 0.866
N1 N 0.061 0.250 0.652
N2 N 0.251 0.750 0.990
N3 N 0.464 0.750 0.351
# - Raw formation energy: -1.461 eV per atom